Compound: Fe4Co2Ni3
Source: Alexandria
Functional: PBE-GGA
Structure: relaxed

a b c (Å): 5.023 5.686 8.907
angles (deg): 72.26 57.51 77.72
Last column: magnetic moment on the atom in μB.
Fractional positions:
1 Fe 0.462 0.835 0.943  2.66
2 Fe 0.931 0.499 0.834  2.65
3 Ni 0.970 0.837 0.942  0.69
4 Ni 0.030 0.163 0.058  0.69
5 Ni 0.358 0.167 0.724  0.69
6 Fe 0.538 0.165 0.057  2.66
7 Ni 0.642 0.833 0.276  0.69
8 Fe 0.867 0.169 0.713  2.66
9 Co 0.194 0.172 0.384  1.58
10 Co 0.425 0.492 0.836  1.59
11 Ni 0.750 0.500 0.501  0.71
12 Fe 0.684 0.172 0.391  2.69
13 Co 0.806 0.828 0.616  1.58
14 Fe 0.316 0.828 0.609  2.69
15 Co 0.575 0.508 0.164  1.59
16 Fe 0.069 0.501 0.166  2.65
17 Ni 0.250 0.500 0.499  0.71
18 Fe 0.133 0.831 0.287  2.66

Properties
total DFT energy (no corrections)	-0.5348	Ry per atom
ΔE_f	-1	kJ per mole of atoms

Compound: LiAc12Ni6
Source: Alexandria
Functional: PBE-GGA
Structure: relaxed

a b c (Å): 9.297 9.297 9.297
angles (deg): 109.47 109.47 109.47
Fractional positions:
1 Ni 0.383 0.500 0.883
2 Ac 0.184 0.314 0.498
3 Li 0.000 0.000 0.000
4 Ac 0.498 0.184 0.314
5 Ni 0.117 0.617 0.500
6 Ac 0.816 0.314 0.130
7 Ac 0.870 0.184 0.686
8 Ac 0.686 0.502 0.816
9 Ni 0.617 0.500 0.117
10 Ac 0.184 0.686 0.870
11 Ac 0.502 0.816 0.686
12 Ac 0.130 0.816 0.314
13 Ni 0.500 0.883 0.383
14 Ni 0.883 0.383 0.500
15 Ac 0.686 0.870 0.184
16 Ni 0.500 0.117 0.617
17 Ac 0.314 0.130 0.816
18 Ac 0.314 0.498 0.184
19 Ac 0.816 0.686 0.502

Properties
total DFT energy (no corrections)	-0.3454	Ry per atom
ΔE_f	-17	kJ per mole of atoms

Compound: Ac7Tl5In
Source: Alexandria
Functional: PBE-GGA
Structure: relaxed

a b c (Å): 7.076 9.014 9.014
angles (deg): 79.92 66.89 66.89
Fractional positions:
1 Tl 0.771 0.729 0.729
2 Tl 0.524 0.994 0.474
3 Ac 0.531 0.142 0.797
4 Ac 0.531 0.797 0.142
5 Ac 0.246 0.754 0.754
6 Ac 0.004 0.678 0.314
7 Ac 0.004 0.314 0.678
8 In 0.945 0.055 0.055
9 Tl 0.524 0.474 0.994
10 Tl 0.008 0.474 0.994
11 Ac 0.280 0.220 0.220
12 Ac 0.624 0.376 0.376
13 Tl 0.008 0.994 0.474

Properties
total DFT energy (no corrections)	-0.2595	Ry per atom
ΔE_f	-19	kJ per mole of atoms

Compound: CdAg2Au9
Source: Alexandria
Functional: PBE-GGA
Structure: relaxed

a b c (Å): 4.167 4.167 12.579
angles (deg): 90.00 90.00 90.00
Fractional positions:
1 Au 0.500 0.500 0.665
2 Au 0.500 0.000 0.500
3 Ag 0.000 0.000 0.336
4 Au 0.000 0.500 0.500
5 Au 0.500 0.000 0.169
6 Ag 0.000 0.000 0.664
7 Au 0.500 0.000 0.831
8 Au 0.500 0.500 0.335
9 Au 0.000 0.500 0.169
10 Au 0.000 0.500 0.831
11 Cd 0.000 0.000 0.000
12 Au 0.500 0.500 0.000

Properties
total DFT energy (no corrections)	-0.2262	Ry per atom
ΔE_f	-7	kJ per mole of atoms

Compound: HfZr2S
Source: Alexandria
Functional: PBE-GGA
Structure: relaxed

a b c (Å): 3.381 3.381 8.709
angles (deg): 78.81 78.81 60.00
Fractional positions:
1 Hf 0.500 0.500 0.500
2 Zr 0.736 0.736 0.793
3 S 0.000 0.000 0.000
4 Zr 0.264 0.264 0.207

Properties
total DFT energy (no corrections)	-0.6255	Ry per atom
formation energy (no corrections)	-0.717	eV per atom

Compound: PtC2Cl
Source: Alexandria
Functional: PBE-GGA
Structure: relaxed

a b c (Å): 4.063 4.063 4.063
angles (deg): 60.00 60.00 60.00
Fractional positions:
1 Pt 0.500 0.500 0.500
2 Cl 0.000 0.000 0.000
3 C 0.250 0.250 0.250
4 C 0.750 0.750 0.750

Properties
energy above the lowest structure with this stoichiometry	1101.6	meV/atom
total DFT energy (no corrections)	-0.2818	Ry per atom
formation energy (no corrections)	2.749	eV per atom